Compound: Ti3Tl2Cl8
Source: the Alexandria database
Functional: PBE-GGA
Structure: optimized geometry

```
Ti3Tl2Cl8
1.0
8.163 -3.506 0.000
8.163 3.506 0.000
-1.064 0.000 5.853
Ti Tl Cl
3 2 8
Direct
0.000 0.000 0.000 Ti
0.204 0.796 0.500 Ti
0.796 0.204 0.500 Ti
0.273 0.273 0.843 Tl
0.727 0.727 0.157 Tl
0.104 0.104 0.374 Cl
0.148 0.669 0.126 Cl
0.331 0.852 0.874 Cl
0.416 0.416 0.603 Cl
0.584 0.584 0.397 Cl
0.669 0.148 0.126 Cl
0.852 0.331 0.874 Cl
0.896 0.896 0.626 Cl
```

Space group: No. 12
Theoretical density: 4.1 g cm⁻³
Formation energy from raw total energies: -1.272 eV/atom
DOS at the Fermi energy: 3.3 states/eV per cell